The following is a DFT calculation (GGA-PBE) of a relaxed CdGeC2 crystal.

The calculation puts the relative energy among the computed polymorphs at 0.000 eV per atom. The size of the total moment is 0.00 μB per cell. The calculation puts the formation energy at 1.30 eV/atom. For the density, the calculation gives 6.0 g cm⁻³. The crystal system is tetragonal.

Lattice parameters (Å, degrees): 5.056 5.056 5.793 64.12 64.12 90.00
Fractional coordinates of all 8 atoms:
Ge 0.250 0.750 0.500
Ge 0.500 0.500 0.000
C 0.875 0.823 0.750
C 0.177 0.625 0.250
C 0.375 0.427 0.750
C 0.573 0.125 0.250
Cd 0.750 0.250 0.500
Cd 0.000 0.000 0.000



The following is a DFT calculation (GGA-PBE) of a relaxed Ho12TlGa6 crystal.

The size of the total moment is 0.00 μB per cell. The calculation puts the formation energy at -0.38 eV/atom. For the density, the calculation gives 8.6 g cm⁻³. The crystal system is cubic.

Lattice parameters (Å, degrees): 8.683 8.683 8.683 109.47 109.47 109.47
Fractional coordinates of all 19 atoms:
Ho 0.483 0.189 0.293
Ho 0.293 0.483 0.189
Ho 0.189 0.293 0.483
Ho 0.104 0.811 0.293
Ho 0.707 0.896 0.189
Ho 0.189 0.707 0.896
Ho 0.811 0.707 0.517
Ho 0.517 0.811 0.707
Ho 0.811 0.293 0.104
Ho 0.707 0.517 0.811
Ho 0.293 0.104 0.811
Ho 0.896 0.189 0.707
Ga 0.500 0.877 0.377
Ga 0.500 0.123 0.623
Ga 0.377 0.500 0.877
Ga 0.623 0.500 0.123
Ga 0.123 0.623 0.500
Ga 0.877 0.377 0.500
Tl 0.000 0.000 0.000



The following is a DFT calculation (GGA-PBE) of a relaxed CaAl12Zn4 crystal.

The size of the total moment is 0.00 μB per cell. The calculation puts the formation energy at 0.20 eV/atom. For the density, the calculation gives 3.0 g cm⁻³. The crystal system is cubic.

Lattice parameters (Å, degrees): 7.647 7.647 7.647 109.47 109.47 109.47
Fractional coordinates of all 17 atoms:
Al 0.351 0.508 0.156
Al 0.805 0.156 0.649
Al 0.156 0.649 0.805
Al 0.156 0.351 0.508
Al 0.492 0.844 0.649
Al 0.649 0.805 0.156
Al 0.649 0.492 0.844
Al 0.844 0.351 0.195
Al 0.508 0.156 0.351
Al 0.195 0.844 0.351
Al 0.351 0.195 0.844
Al 0.844 0.649 0.492
Zn 0.500 0.500 0.500
Zn 0.500 0.000 0.000
Zn 0.000 0.000 0.500
Zn 0.000 0.500 0.000
Ca 0.000 0.000 0.000



The following is a DFT calculation (GGA-PBE) of a relaxed Sc2TaTlB crystal.

The size of the total moment is 0.00 μB per cell. The calculation puts the formation energy at -0.20 eV/atom. For the density, the calculation gives 8.5 g cm⁻³. The crystal system is tetragonal.

Lattice parameters (Å, degrees): 4.613 4.613 4.475 90.00 90.00 90.00
Fractional coordinates of all 5 atoms:
Ta 0.000 0.000 0.500
Tl 0.500 0.500 0.500
Sc 0.500 0.000 0.000
Sc 0.000 0.500 0.000
B 0.000 0.000 0.000



The following is a DFT calculation (GGA-PBE) of a relaxed Nd2Y2Mg crystal.

The calculation puts the relative energy among the computed polymorphs at 0.203 eV per atom. The size of the total moment is 0.00 μB per cell. The calculation puts the formation energy at 0.17 eV/atom. For the density, the calculation gives 4.8 g cm⁻³. The crystal system is tetragonal.

Lattice parameters (Å, degrees): 5.253 5.253 12.973 101.68 101.68 90.00
Fractional coordinates of all 10 atoms:
Mg 0.500 0.500 0.000
Mg 0.250 0.750 0.500
Nd 0.329 0.329 0.657
Nd 0.421 0.921 0.843
Nd 0.079 0.579 0.157
Nd 0.671 0.671 0.343
Y 0.177 0.177 0.354
Y 0.823 0.823 0.646
Y 0.927 0.427 0.854
Y 0.573 0.073 0.146



The following is a DFT calculation (GGA-PBE) of a relaxed Re2CO crystal.

The calculation puts the relative energy among the computed polymorphs at 0.000 eV per atom. The uncorrected formation energy comes out at 502.4 meV/atom. The size of the total moment is 0.10 μB per cell. For the density, the calculation gives 13.3 g cm⁻³. The crystal system is tetragonal.

Lattice parameters (Å, degrees): 4.930 4.930 5.399 62.84 62.84 90.00
Fractional coordinates of all 8 atoms:
Re 0.375 0.385 0.750
Re 0.135 0.625 0.250
Re 0.615 0.125 0.250
Re 0.875 0.865 0.750
O 0.000 0.000 0.000
O 0.750 0.250 0.500
C 0.500 0.500 0.000
C 0.250 0.750 0.500



The following is a DFT calculation (GGA-PBE) of a relaxed Ca8Si2Sn crystal.

The uncorrected formation energy comes out at -281.3 meV/atom. The size of the total moment is 0.00 μB per cell. For the density, the calculation gives 2.6 g cm⁻³. The crystal system is orthorhombic.

Lattice parameters (Å, degrees): 4.993 8.345 9.096 117.31 105.93 90.00
Fractional coordinates of all 11 atoms:
Ca 0.150 0.151 0.301
Ca 0.341 0.127 0.681
Ca 0.659 0.873 0.319
Ca 0.000 0.687 0.000
Ca 0.000 0.313 0.000
Ca 0.850 0.849 0.699
Ca 0.341 0.554 0.681
Ca 0.659 0.446 0.319
Si 0.192 0.692 0.384
Si 0.808 0.308 0.616
Sn 0.500 0.000 0.000



The following is a DFT calculation (GGA-PBE) of a relaxed CaZnGaRh crystal.

The size of the total moment is 0.00 μB per cell. The calculation puts the formation energy at -0.45 eV/atom. For the density, the calculation gives 5.5 g cm⁻³. The crystal system is trigonal.

Lattice parameters (Å, degrees): 4.326 4.326 5.767 67.97 67.97 60.00
Fractional coordinates of all 4 atoms:
Zn 0.273 0.273 0.180
Ca 0.814 0.814 0.559
Ga 0.012 0.012 0.965
Rh 0.627 0.627 0.118